No. 1
{"formula": "UIn2HgBr6", "functional": "GGA-PBE", "state": "optimized geometry", "formation_energy_uncorrected_ev_per_atom": -0.919, "space_group": "No. 146", "total_energy_ev_per_cell": -36.3, "lattice": [[4.069, 2.349, 7.577], [-4.069, 2.349, 7.577], [0.000, -4.699, 7.577]], "species": ["U", "In", "In", "Hg", "Br", "Br", "Br", "Br", "Br", "Br"], "frac_coords": [[0.000, 0.000, 0.000], [0.346, 0.346, 0.346], [0.817, 0.817, 0.817], [0.503, 0.503, 0.503], [0.040, 0.365, 0.803], [0.171, 0.982, 0.627], [0.365, 0.803, 0.040], [0.627, 0.171, 0.982], [0.803, 0.040, 0.365], [0.982, 0.627, 0.171]]}

---

No. 2
{"formula": "UInHgBr6", "functional": "GGA-PBE", "state": "optimized geometry", "formation_energy_uncorrected_ev_per_atom": -0.986, "space_group": "No. 163", "total_energy_ev_per_cell": -66.5, "lattice": [[8.037, 0.000, 0.000], [-4.019, 6.960, 0.000], [0.000, 0.000, 15.068]], "species": ["U", "U", "In", "In", "Hg", "Hg", "Br", "Br", "Br", "Br", "Br", "Br", "Br", "Br", "Br", "Br", "Br", "Br"], "frac_coords": [[0.333, 0.667, 0.250], [0.667, 0.333, 0.750], [0.333, 0.667, 0.750], [0.667, 0.333, 0.250], [0.000, 0.000, 0.000], [0.000, 0.000, 0.500], [0.050, 0.398, 0.147], [0.050, 0.653, 0.353], [0.347, 0.398, 0.353], [0.347, 0.950, 0.147], [0.398, 0.050, 0.647], [0.398, 0.347, 0.853], [0.602, 0.653, 0.147], [0.602, 0.950, 0.353], [0.653, 0.050, 0.853], [0.653, 0.602, 0.647], [0.950, 0.347, 0.647], [0.950, 0.602, 0.853]]}